# CoMoPbF6 PBE+U optimized geometry
data_CoMoPbF6
_chemical_formula_sum 'Co2 Mo2 Pb2 F12'
_space_group_name_H-M_alt 'P 1'
_space_group_IT_number 1
_cell_length_a 5.594
_cell_length_b 5.594
_cell_length_c 10.881
_cell_angle_alpha 90.00
_cell_angle_beta 90.00
_cell_angle_gamma 120.00
loop_
_space_group_symop_operation_xyz
'x,y,z'
loop_
_atom_site_label
_atom_site_type_symbol
_atom_site_fract_x
_atom_site_fract_y
_atom_site_fract_z
_atom_site_occupancy
F1 F 0.017 0.361 0.640 1
F2 F 0.639 0.983 0.860 1
F3 F 0.639 0.656 0.640 1
F4 F 0.983 0.344 0.140 1
Pb1 Pb 0.000 0.000 0.500 1
Pb2 Pb 0.000 0.000 0.000 1
Mo1 Mo 0.333 0.667 0.750 1
F5 F 0.656 0.639 0.140 1
F6 F 0.344 0.361 0.860 1
Co1 Co 0.667 0.333 0.750 1
F7 F 0.344 0.983 0.640 1
F8 F 0.983 0.639 0.360 1
Co2 Co 0.333 0.667 0.250 1
F9 F 0.017 0.656 0.860 1
Mo2 Mo 0.667 0.333 0.250 1
F10 F 0.361 0.017 0.140 1
F11 F 0.656 0.017 0.360 1
F12 F 0.361 0.344 0.360 1
# DFT total energy in hartree per atom: -0.1896
# ρ in Mg/m³: 5.361